5
Lattice="5.428 0.000 0.000 0.000 5.428 0.000 0.000 0.000 5.428" Properties=species:S:1:pos:R:3 comment="Ca3TcSn | the Alexandria database | PBE-GGA | relaxed" magmom_total_mub_per_atom=0.493 formation_energy_ev_per_atom=0.43 pbc="T T T"
Ca 0.000 0.000 2.714
Ca 0.000 2.714 0.000
Ca 2.714 0.000 0.000
Tc 0.000 0.000 0.000
Sn 2.714 2.714 2.714